Entry 1:
The following is a DFT calculation (GGA-PBE) of an optimized crystal structure of Nd5ScSb5.

```
Nd5ScSb5
1.0
6.290 0.000 0.000
-3.145 7.008 -0.096
0.000 -2.740 8.383
Nd Sc Sb
5 1 5
Direct
0.674 0.348 0.332
0.662 0.325 0.828
0.000 0.000 0.500
0.338 0.675 0.172
0.326 0.652 0.668
0.000 0.000 0.000
0.838 0.677 0.158
0.839 0.678 0.678
0.500 0.000 0.000
0.161 0.322 0.322
0.162 0.323 0.842
```

* crystal system: monoclinic
* volume: 33.44 Å³ per atom
* symmetry: No. 12

Entry 2:
The following is a DFT calculation (GGA-PBE) of an optimized crystal structure of Nd5Sc2Sb5.

```
Nd5Sc2Sb5
1.0
4.423 0.000 0.000
-2.212 7.279 -0.354
0.000 -4.046 11.877
Nd Sc Sb
5 2 5
Direct
0.500 0.000 0.500
0.663 0.325 0.039
0.731 0.462 0.348
0.269 0.538 0.652
0.337 0.675 0.961
0.052 0.104 0.797
0.948 0.896 0.203
0.110 0.219 0.413
0.679 0.358 0.783
0.321 0.642 0.217
0.890 0.781 0.587
0.000 0.000 0.000
```

* crystal system: monoclinic
* volume: 31.34 Å³ per atom
* symmetry: No. 12

Entry 3:
The following is a DFT calculation (GGA-PBE) of an optimized crystal structure of Nd2ScSb4.

```
Nd2ScSb4
1.0
4.333 0.000 0.000
0.000 4.333 0.000
0.000 0.000 11.386
Nd Sc Sb
2 1 4
Direct
0.500 0.000 0.718
0.000 0.500 0.282
0.500 0.500 0.000
0.500 0.000 0.167
0.000 0.500 0.833
0.500 0.500 0.500
0.000 0.000 0.500
```

* crystal system: tetragonal
* volume: 30.54 Å³ per atom
* symmetry: No. 115

Entry 4:
The following is a DFT calculation (GGA-PBE) of an optimized crystal structure of Nd5ScSb6.

```
Nd5ScSb6
1.0
7.746 0.218 0.000
2.389 7.362 0.000
1.195 3.681 6.710
Nd Sc Sb
5 1 6
Direct
0.500 0.171 0.658
0.000 0.335 0.330
0.500 0.500 0.000
0.000 0.665 0.670
0.500 0.829 0.342
0.000 0.000 0.000
0.759 0.080 0.321
0.241 0.599 0.321
0.246 0.239 0.000
0.754 0.761 0.000
0.759 0.401 0.679
0.241 0.920 0.679
```

* crystal system: monoclinic
* volume: 31.60 Å³ per atom
* symmetry: No. 12

Result set for ΔE_f (raw): -0.94 -0.89 -0.83 -1.13 eV/atom, one per record in the order listed.
Result set for energy: -5.5531 -5.6542 -5.4545 -5.7006 eV per atom, one per record in the order listed.